Computed, not measured: a relaxed structure of CrCuWO6 at the PBE+U level of DFT.

Properties
- Total energy: -61.367 eV/f.u.

a = 5.0512 Å, b = 5.0512 Å, c = 8.8353 Å
α = 90.00°, β = 90.00°, γ = 120.00°
With the nearest neighbours (Å) after each atom.
Space group P-31c (No. 163)
One atom of each set of equivalent atoms:
Cr 0.3333 0.6667 0.2500  6 O 1.97
Cu 0.0000 0.0000 0.0000  6 O 2.10
W 0.3333 0.6667 0.7500  6 O 1.95
O 0.0039 0.3492 0.6300  1 W 1.95, 1 Cr 1.97, 1 Cu 2.10